## MoPIrO2 (GGA+U)

Data for crystalline MoPIrO2 at its relaxed geometry.

## Properties
Magnetization: 3.749 μB per formula unit
Crystal system: tetragonal
Excess energy over the best structure of this formula in the dataset: 2.920 kcal/mol of atoms

Geometry as CIF:
```
data_MoPIrO2
_space_group_name_H-M_alt 'P 4/m m m'
_space_group_IT_number 123
_space_group_name_Hall '-P 4 2'
_cell_length_a 3.777
_cell_length_b 3.777
_cell_length_c 5.486
_cell_angle_alpha 90.00
_cell_angle_beta 90.00
_cell_angle_gamma 90.00
loop_
_atom_site_label
_atom_site_type_symbol
_atom_site_fract_x
_atom_site_fract_y
_atom_site_fract_z
Mo1 Mo 0.000 0.000 0.000
P1 P 0.500 0.500 0.000
Ir1 Ir 0.500 0.500 0.500
O1 O 0.000 0.500 0.500
```